# 1
! YMgZr2 GGA-PBEsol relaxed; values from VASP
&SYSTEM
  ibrav = 0, nat = 4, ntyp = 3
/
ATOMIC_SPECIES
Y 88.91 Y.upf
Mg 24.30 Mg.upf
Zr 91.22 Zr.upf
ATOMIC_POSITIONS crystal
Y 0.500 0.500 0.757
Mg 0.000 0.000 0.482
Zr 0.000 0.000 0.025
Zr 0.500 0.500 0.236
CELL_PARAMETERS angstrom
3.291 0.000 0.000
0.000 4.254 0.000
0.000 0.000 6.888
! Formation energy ... 53 meV per atom
! SG ... No. 25


# 2
! MgSiO3 GGA-PBEsol relaxed; values from VASP
&SYSTEM
  ibrav = 0, nat = 5, ntyp = 3
/
ATOMIC_SPECIES
Si 28.09 Si.upf
Mg 24.30 Mg.upf
O 16.00 O.upf
ATOMIC_POSITIONS crystal
Si 0.500 0.500 0.500
Mg 0.000 0.000 0.000
O 0.000 0.500 0.000
O 0.000 0.000 0.500
O 0.500 0.000 0.000
CELL_PARAMETERS angstrom
3.828 0.000 0.000
0.000 3.828 0.000
0.000 0.000 3.828
! SG ... No. 221
! E_form (uncorrected) ... -521 meV per atom


no.,energy (eV/atom),Fermi-level density of states (states/eV/cell)
1,-6.63,4.06
2,-5.16,3.72